one) # TePtCN2 (PBE-GGA, optimized geometry)
# - ρ: 5.19 g/cm3
# - Total magnetic moment: 0.4 μB/cell
# - Fermi-level density of states: 3.1 states/eV/f.u.
data_TePtCN2
_chemical_formula_sum 'Te1 Pt1 C1 N2'
_space_group_name_H-M_alt 'P 4/m m m'
_space_group_IT_number 123
_space_group_name_Hall '-P 4 2'
_cell_length_a 3.6678
_cell_length_b 3.6678
_cell_length_c 8.6335
_cell_angle_alpha 90.00
_cell_angle_beta 90.00
_cell_angle_gamma 90.00
loop_
_atom_site_label
_atom_site_type_symbol
_atom_site_fract_x
_atom_site_fract_y
_atom_site_fract_z
Te1 Te 0.0000 0.0000 0.0000
Pt1 Pt 0.0000 0.0000 0.5000
C1 C 0.5000 0.5000 0.0000
N1 N 0.0000 0.5000 0.5000

two) # TePtCN2 (PBE-GGA, optimized geometry)
# - ρ: 9.29 g/cm3
# - Total magnetic moment: 2.0 μB/cell
# - Fermi-level density of states: 3.0 states/eV/f.u.
data_TePtCN2
_chemical_formula_sum 'Te1 Pt1 C1 N2'
_space_group_name_H-M_alt 'P 4/m m m'
_space_group_IT_number 123
_space_group_name_Hall '-P 4 2'
_cell_length_a 3.7132
_cell_length_b 3.7132
_cell_length_c 4.7011
_cell_angle_alpha 90.00
_cell_angle_beta 90.00
_cell_angle_gamma 90.00
loop_
_atom_site_label
_atom_site_type_symbol
_atom_site_fract_x
_atom_site_fract_y
_atom_site_fract_z
Te1 Te 0.0000 0.0000 0.0000
Pt1 Pt 0.5000 0.5000 0.0000
C1 C 0.0000 0.0000 0.5000
N1 N 0.0000 0.5000 0.5000

Most favorable structure: one). The second most favorable one is 0.358 eV/atom above it.